Here is MnHg2F8 after structural relaxation from Alexandria via LeMat-Bulk. Energies are from GGA+U.

Properties
SG	C2/m, No. 12
E above lowest polymorph	0.00	eV/f.u.

a b c (Å): 6.037 6.037 4.658
angles (deg): 104.70 104.70 77.33
Element x y z (fractional)
Mn 0.000 0.000 0.000
Hg 0.339 0.339 0.645
Hg 0.661 0.661 0.355
F 0.045 0.704 0.756
F 0.119 0.119 0.757
F 0.296 0.955 0.244
F 0.409 0.409 0.199
F 0.591 0.591 0.801
F 0.704 0.045 0.756
F 0.881 0.881 0.243
F 0.955 0.296 0.244